{"formula": "NaIn2HgPt", "functional": "PBE", "state": "relaxed", "cell": [[5.179, 0.000, 0.000], [0.000, 5.179, 0.000], [0.000, 0.000, 5.379]], "species": ["Na", "In", "In", "Pt", "Hg"], "fractional_positions": [[0.500, 0.500, 0.500], [0.000, 0.500, 0.000], [0.500, 0.000, 0.000], [0.000, 0.000, 0.000], [0.000, 0.000, 0.500]], "e_form_ev_per_atom": -0.1784, "dos_at_fermi_per_ev_cell": 2.23}

---

{"formula": "NbPIrO2", "functional": "PBE", "state": "relaxed", "cell": [[-2.059, 2.517, -1.696], [-3.825, -0.036, 4.589], [1.923, 2.668, 1.624]], "species": ["O", "O", "Nb", "Ir", "P"], "fractional_positions": [[0.000, 0.000, 0.500], [0.500, 0.000, 0.000], [0.000, 0.500, 0.000], [0.000, 0.000, 0.000], [0.500, 0.500, 0.500]], "raw_formation_energy_ev_per_atom": -0.27, "dos_at_fermi_per_ev_cell": 4.12}

---

{"formula": "AcSiAg", "functional": "PBE", "state": "relaxed", "cell": [[-1.612, -4.048, 1.373], [3.097, 0.208, -3.352], [6.278, -0.545, 5.767]], "species": ["Ac", "Ac", "Ag", "Ag", "Si", "Si"], "fractional_positions": [[0.000, 0.500, 0.500], [0.000, 0.500, 0.000], [0.333, 0.167, 0.250], [0.667, 0.833, 0.750], [0.667, 0.833, 0.250], [0.333, 0.167, 0.750]], "raw_formation_energy_ev_per_atom": -0.51, "dos_at_fermi_per_ev_cell": 0.59}

---

{"formula": "PrNd5SmEr2", "functional": "PBE", "state": "relaxed", "cell": [[5.734, 0.000, 0.000], [-2.867, 10.295, 0.000], [0.000, 0.000, 10.628]], "species": ["Nd", "Nd", "Nd", "Nd", "Nd", "Nd", "Nd", "Nd", "Nd", "Nd", "Pr", "Pr", "Sm", "Sm", "Er", "Er", "Er", "Er"], "fractional_positions": [[0.721, 0.441, 0.812], [0.703, 0.407, 0.207], [0.016, 0.033, 0.022], [0.523, 0.046, 0.240], [0.297, 0.593, 0.707], [0.984, 0.967, 0.522], [0.390, 0.780, 0.026], [0.610, 0.220, 0.526], [0.279, 0.559, 0.312], [0.477, 0.954, 0.740], [0.413, 0.825, 0.448], [0.587, 0.175, 0.948], [0.199, 0.398, 0.012], [0.801, 0.602, 0.512], [0.883, 0.766, 0.823], [0.886, 0.773, 0.233], [0.114, 0.227, 0.733], [0.117, 0.234, 0.323]], "e_form_ev_per_atom": 0.1486, "dos_at_fermi_per_ev_cell": 28.10}